[1]
{"formula": "InTeBr", "functional": "PBEsol", "state": "relaxed", "lattice": [[-1.576, -3.026, -0.248], [0.185, -2.432, 4.910], [-4.333, 0.048, 3.358]], "species": ["Te", "Br", "In"], "frac_coords": [[0.680, 0.320, 0.320], [0.998, 0.002, 0.002], [0.323, 0.677, 0.677]], "m_tot_mub_per_fu": 0.0, "formation_energy_uncorrected_ev_per_fu": -0.26, "energy_ev_per_atom": -2.8807}


[2]
{"formula": "InTc2W", "functional": "PBEsol", "state": "relaxed", "lattice": [[3.117, 0.000, 0.000], [0.000, 3.117, 0.000], [0.000, 0.000, 6.497]], "species": ["In", "Tc", "Tc", "W"], "frac_coords": [[0.500, 0.500, 0.500], [0.000, 0.000, 0.771], [0.000, 0.000, 0.229], [0.500, 0.500, 0.000]], "m_tot_mub_per_fu": 0.0, "energy_ev_per_atom": -9.7359, "ef_mev_per_atom": 95}


[3]
{"formula": "CaZrBr", "functional": "PBEsol", "state": "relaxed", "lattice": [[5.198, 0.000, 0.000], [2.599, 4.502, 0.000], [2.599, 1.501, 4.244]], "species": ["Br", "Ca", "Zr"], "frac_coords": [[0.500, 0.500, 0.500], [0.750, 0.750, 0.750], [0.000, 0.000, 0.000]], "m_tot_mub_per_fu": 4.4, "formation_energy_uncorrected_ev_per_fu": 2.29, "energy_ev_per_atom": -3.6008}


[4]
{"formula": "BeFe2S", "functional": "PBEsol", "state": "relaxed", "lattice": [[3.710, 0.000, 0.000], [1.855, 3.213, 0.000], [1.855, 1.071, 3.029]], "species": ["Fe", "Fe", "S", "Be"], "frac_coords": [[0.250, 0.250, 0.250], [0.750, 0.750, 0.750], [0.500, 0.500, 0.500], [0.000, 0.000, 0.000]], "m_tot_mub_per_fu": 0.0, "formation_energy_uncorrected_ev_per_fu": -0.58, "energy_ev_per_atom": -6.7235}


[5]
{"formula": "Li5Ir", "functional": "PBEsol", "state": "relaxed", "lattice": [[-2.284, -1.356, 0.223], [0.893, -1.794, -1.758], [5.349, -7.334, 10.195]], "species": ["Ir", "Li", "Li", "Li", "Li", "Li"], "frac_coords": [[0.500, 0.500, 0.000], [0.500, 0.500, 0.678], [0.000, 0.000, 0.135], [0.000, 0.000, 0.865], [0.000, 0.000, 0.500], [0.500, 0.500, 0.322]], "m_tot_mub_per_fu": 0.0, "energy_ev_per_atom": -3.2567, "ef_mev_per_atom": 19}


[6]
{"formula": "NaCo3P3O13", "functional": "PBEsol", "state": "relaxed", "lattice": [[6.007, 0.000, 0.000], [0.000, 7.244, -0.083], [0.000, -1.856, 9.890]], "species": ["Na", "Na", "O", "O", "O", "O", "O", "O", "O", "O", "O", "O", "O", "O", "O", "O", "O", "O", "O", "O", "O", "O", "O", "O", "O", "O", "O", "O", "Co", "Co", "Co", "Co", "Co", "Co", "P", "P", "P", "P", "P", "P"], "frac_coords": [[0.750, 0.316, 0.794], [0.250, 0.684, 0.206], [0.962, 0.801, 0.092], [0.448, 0.738, 0.431], [0.250, 0.195, 0.364], [0.945, 0.616, 0.800], [0.750, 0.126, 0.098], [0.750, 0.005, 0.394], [0.948, 0.262, 0.569], [0.055, 0.384, 0.200], [0.750, 0.805, 0.636], [0.750, 0.484, 0.036], [0.250, 0.874, 0.902], [0.462, 0.199, 0.908], [0.250, 0.358, 0.741], [0.250, 0.516, 0.964], [0.538, 0.801, 0.092], [0.250, 0.654, 0.630], [0.038, 0.199, 0.908], [0.445, 0.384, 0.200], [0.250, 0.995, 0.606], [0.555, 0.616, 0.800], [0.750, 0.927, 0.883], [0.750, 0.346, 0.370], [0.750, 0.642, 0.259], [0.250, 0.073, 0.117], [0.052, 0.738, 0.431], [0.552, 0.262, 0.569], [0.250, 0.634, 0.809], [0.500, 0.000, 0.000], [0.250, 0.240, 0.556], [0.750, 0.366, 0.191], [0.750, 0.760, 0.444], [0.000, 0.000, 0.000], [0.750, 0.208, 0.467], [0.250, 0.262, 0.230], [0.250, 0.308, 0.887], [0.750, 0.692, 0.113], [0.750, 0.738, 0.770], [0.250, 0.792, 0.533]], "m_tot_mub_per_fu": 3.1, "formation_energy_uncorrected_ev_per_fu": -32.95, "energy_ev_per_atom": -7.1588}


[7]
{"formula": "NbGaSi3", "functional": "PBEsol", "state": "relaxed", "lattice": [[4.839, 0.000, 0.000], [0.000, 4.839, 0.000], [0.000, 0.000, 4.839]], "species": ["Nb", "Si", "Si", "Si", "Ga"], "frac_coords": [[0.000, 0.000, 0.000], [0.000, 0.000, 0.500], [0.000, 0.500, 0.000], [0.500, 0.000, 0.000], [0.500, 0.500, 0.500]], "m_tot_mub_per_fu": 0.0, "formation_energy_uncorrected_ev_per_fu": 3.02, "energy_ev_per_atom": -5.6753}


[8]
{"formula": "CaMg2Cu3", "functional": "PBEsol", "state": "relaxed", "lattice": [[5.666, 0.000, 0.000], [0.000, 6.412, 0.030], [0.000, 1.946, 6.109]], "species": ["Cu", "Cu", "Cu", "Cu", "Cu", "Cu", "Mg", "Mg", "Mg", "Mg", "Ca", "Ca"], "frac_coords": [[0.750, 0.047, 0.953], [0.250, 0.817, 0.430], [0.750, 0.183, 0.570], [0.250, 0.953, 0.047], [0.750, 0.430, 0.817], [0.250, 0.570, 0.183], [0.000, 0.214, 0.214], [0.000, 0.786, 0.786], [0.500, 0.214, 0.214], [0.500, 0.786, 0.786], [0.250, 0.329, 0.671], [0.750, 0.671, 0.329]], "m_tot_mub_per_fu": 0.0, "energy_ev_per_atom": -3.0984, "ef_mev_per_atom": -3}


[9]
{"formula": "NiRh2", "functional": "PBEsol", "state": "relaxed", "lattice": [[2.648, 0.000, 0.000], [0.000, 2.648, 0.000], [-1.324, -1.324, 5.359]], "species": ["Rh", "Rh", "Ni"], "frac_coords": [[0.663, 0.663, 0.325], [0.337, 0.337, 0.675], [0.000, 0.000, 0.000]], "m_tot_mub_per_fu": 0.0, "energy_ev_per_atom": -7.4273, "ef_mev_per_atom": 51}


[10]
{"formula": "Zr5In3Cu", "functional": "PBEsol", "state": "relaxed", "lattice": [[-5.670, 0.655, -1.058], [-1.826, -3.249, 7.775], [1.160, 8.489, -0.961]], "species": ["Zr", "Zr", "Zr", "Zr", "Zr", "Zr", "Zr", "Zr", "Zr", "Zr", "Cu", "Cu", "In", "In", "In", "In", "In", "In"], "frac_coords": [[0.000, 0.333, 0.667], [0.500, 0.667, 0.333], [0.000, 0.667, 0.333], [0.500, 0.333, 0.667], [0.750, 0.000, 0.266], [0.250, 0.000, 0.734], [0.750, 0.266, 0.000], [0.250, 0.266, 0.266], [0.750, 0.734, 0.734], [0.250, 0.734, 0.000], [0.500, 0.000, 0.000], [0.000, 0.000, 0.000], [0.250, 0.000, 0.382], [0.750, 0.000, 0.618], [0.750, 0.382, 0.382], [0.750, 0.618, 0.000], [0.250, 0.618, 0.618], [0.250, 0.382, 0.000]], "m_tot_mub_per_fu": 0.0, "energy_ev_per_atom": -6.8154, "ef_mev_per_atom": -290}


[11]
{"formula": "ScGeSbTe2", "functional": "PBEsol", "state": "relaxed", "lattice": [[5.155, 0.000, 0.000], [0.000, 5.307, 0.000], [0.000, 0.000, 5.307]], "species": ["Sb", "Te", "Te", "Sc", "Ge"], "frac_coords": [[0.500, 0.000, 0.000], [0.000, 0.500, 0.000], [0.000, 0.000, 0.500], [0.500, 0.500, 0.500], [0.000, 0.000, 0.000]], "m_tot_mub_per_fu": 0.0, "formation_energy_uncorrected_ev_per_fu": 1.33, "energy_ev_per_atom": -4.3650}


[12]
{"formula": "Li4V3Cr3Sb2O16", "functional": "PBEsol", "state": "relaxed", "lattice": [[-5.733, 0.478, -0.678], [2.236, -0.755, 5.306], [0.711, 10.039, 1.060]], "species": ["O", "O", "O", "O", "O", "O", "O", "O", "O", "O", "O", "O", "O", "O", "O", "O", "Li", "Li", "Li", "Li", "Cr", "Cr", "Cr", "V", "V", "V", "Sb", "Sb"], "frac_coords": [[0.692, 0.846, 0.109], [0.157, 0.315, 0.108], [0.837, 0.147, 0.606], [0.516, 0.031, 0.325], [0.023, 0.519, 0.818], [0.490, 0.981, 0.825], [0.847, 0.693, 0.608], [0.521, 0.500, 0.326], [0.999, 0.997, 0.309], [0.332, 0.663, 0.603], [0.980, 0.500, 0.326], [0.998, 0.995, 0.808], [0.496, 0.519, 0.818], [0.309, 0.147, 0.606], [0.672, 0.344, 0.109], [0.154, 0.846, 0.109], [0.001, 0.002, 0.994], [0.669, 0.338, 0.896], [0.338, 0.677, 0.395], [0.998, 0.995, 0.493], [0.166, 0.332, 0.714], [0.832, 0.173, 0.219], [0.341, 0.173, 0.219], [0.175, 0.819, 0.717], [0.644, 0.819, 0.717], [0.823, 0.645, 0.223], [0.664, 0.328, 0.501], [0.335, 0.670, 0.009]], "m_tot_mub_per_fu": 11.0, "formation_energy_uncorrected_ev_per_fu": -56.51, "energy_ev_per_atom": -7.7539}